(1)
{"formula": "P4Se5", "functional": "GGA-PBEsol", "state": "optimized geometry", "lattice": [[-0.735, -2.015, -6.251], [6.077, -8.668, 2.080], [-10.714, -6.691, 3.416]], "species": ["Se", "P", "Se", "Se", "P", "P", "P", "Se", "Se", "Se", "Se", "P", "Se", "P", "Se", "Se", "Se", "Se", "P", "Se", "Se", "Se", "P", "Se", "Se", "P", "P", "P", "Se", "Se", "P", "P", "P", "Se", "P", "P"], "frac_coords": [[0.330, 0.770, 0.019], [0.192, 0.449, 0.865], [0.830, 0.230, 0.981], [0.640, 0.895, 0.275], [0.040, 0.965, 0.849], [0.509, 0.510, 0.911], [0.540, 0.465, 0.651], [0.706, 0.551, 0.309], [0.178, 0.714, 0.285], [0.140, 0.105, 0.725], [0.281, 0.244, 0.429], [0.103, 0.814, 0.615], [0.206, 0.449, 0.691], [0.509, 0.990, 0.411], [0.678, 0.286, 0.715], [0.678, 0.214, 0.215], [0.206, 0.051, 0.191], [0.706, 0.949, 0.809], [0.009, 0.010, 0.589], [0.330, 0.730, 0.519], [0.178, 0.786, 0.785], [0.140, 0.395, 0.225], [0.692, 0.949, 0.635], [0.781, 0.744, 0.071], [0.781, 0.756, 0.571], [0.103, 0.686, 0.115], [0.603, 0.186, 0.385], [0.692, 0.551, 0.135], [0.830, 0.270, 0.481], [0.640, 0.605, 0.775], [0.009, 0.490, 0.089], [0.603, 0.314, 0.885], [0.040, 0.535, 0.349], [0.281, 0.256, 0.929], [0.540, 0.035, 0.151], [0.192, 0.051, 0.365]], "e_form_raw_mev_per_atom": -2.0, "magmom_total_mub_per_cell": 0.00, "mass_density_g_cm3": 3.69}



(2)
{"formula": "P2Se", "functional": "GGA-PBEsol", "state": "optimized geometry", "lattice": [[-2.509, -0.244, -2.445], [2.670, -1.683, -2.572], [-2.195, -2.359, 2.488]], "species": ["P", "P", "Se"], "frac_coords": [[0.500, 0.667, 0.333], [0.500, 0.333, 0.667], [0.000, 0.000, 0.000]], "e_form_raw_mev_per_atom": 525.9, "n_ef_per_ev_atom": 0.5285, "magmom_total_mub_per_cell": 0.00, "de_polymorph_mev_per_atom": 307, "mass_density_g_cm3": 4.64}



(3)
{"formula": "P4Se3", "functional": "GGA-PBEsol", "state": "optimized geometry", "lattice": [[-3.473, 8.721, 2.449], [-7.009, -4.697, 6.787], [9.191, 0.833, 10.068]], "species": ["P", "P", "P", "P", "P", "P", "P", "Se", "P", "P", "Se", "P", "Se", "P", "P", "P", "P", "Se", "P", "P", "P", "Se", "P", "Se", "Se", "P", "P", "Se", "Se", "P", "Se", "P", "Se", "Se", "Se", "Se", "P", "Se", "Se", "P", "P", "Se", "P", "P", "P", "P", "P", "P", "Se", "Se", "Se", "Se", "P", "Se", "Se", "Se"], "frac_coords": [[0.366, 0.246, 0.162], [0.250, 0.728, 0.824], [0.634, 0.754, 0.838], [0.866, 0.254, 0.662], [0.134, 0.246, 0.162], [0.250, 0.523, 0.502], [0.250, 0.464, 0.971], [0.750, 0.328, 0.017], [0.635, 0.924, 0.248], [0.866, 0.754, 0.838], [0.072, 0.442, 0.865], [0.750, 0.536, 0.029], [0.928, 0.058, 0.365], [0.250, 0.228, 0.676], [0.865, 0.924, 0.248], [0.750, 0.772, 0.324], [0.865, 0.424, 0.252], [0.250, 0.172, 0.517], [0.250, 0.023, 0.998], [0.365, 0.576, 0.748], [0.135, 0.576, 0.748], [0.750, 0.828, 0.483], [0.635, 0.424, 0.252], [0.572, 0.558, 0.135], [0.928, 0.843, 0.980], [0.750, 0.477, 0.498], [0.750, 0.272, 0.176], [0.750, 0.067, 0.852], [0.072, 0.157, 0.020], [0.750, 0.036, 0.471], [0.572, 0.343, 0.520], [0.134, 0.746, 0.338], [0.428, 0.157, 0.020], [0.428, 0.442, 0.865], [0.250, 0.433, 0.352], [0.428, 0.657, 0.480], [0.135, 0.076, 0.752], [0.572, 0.058, 0.365], [0.072, 0.942, 0.635], [0.750, 0.977, 0.002], [0.750, 0.900, 0.755], [0.428, 0.942, 0.635], [0.750, 0.400, 0.745], [0.365, 0.076, 0.752], [0.250, 0.100, 0.245], [0.250, 0.600, 0.255], [0.366, 0.746, 0.338], [0.634, 0.254, 0.662], [0.250, 0.672, 0.983], [0.928, 0.343, 0.520], [0.928, 0.558, 0.135], [0.750, 0.567, 0.648], [0.250, 0.964, 0.529], [0.572, 0.843, 0.980], [0.072, 0.657, 0.480], [0.250, 0.933, 0.148]], "e_form_raw_mev_per_atom": 9.5, "n_ef_per_ev_atom": 0.0000, "magmom_total_mub_per_cell": 0.00, "mass_density_g_cm3": 3.34}